(1)
The following is a GGA-PBE calculation of crystalline Be2Tl at its relaxed geometry, from Alexandria via LeMat-Bulk.

Cell: 3.753 7.206 7.023 Å, 90.00 90.00 90.00°
Element x y z (fractional)
Be 0.250 0.535 0.070
Be 0.250 0.536 0.770
Be 0.750 0.464 0.230
Be 0.750 0.465 0.930
Be 0.750 0.965 0.570
Be 0.750 0.964 0.270
Be 0.250 0.035 0.430
Be 0.250 0.036 0.730
Tl 0.250 0.172 0.080
Tl 0.250 0.672 0.420
Tl 0.750 0.328 0.580
Tl 0.750 0.828 0.920

Computed properties:
Energy above the most stable polymorph in this dataset ... 281 meV per atom
Symmetry ... Pnma
E_form ... 0.551 eV per atom
Total magnetization ... 0.00 μB per cell

(2)
The following is a GGA-PBE calculation of crystalline Be5Tl at its relaxed geometry, from Alexandria via LeMat-Bulk.

Cell: 7.729 7.729 3.200 Å, 90.00 90.00 157.45°
Element x y z (fractional)
Be 0.826 0.174 0.500
Be 0.719 0.281 0.000
Be 0.329 0.671 0.000
Be 0.932 0.068 0.000
Be 0.427 0.573 0.500
Tl 0.100 0.900 0.500

Computed properties:
Energy above the most stable polymorph in this dataset ... 82 meV per atom
Symmetry ... Amm2
E_form ... 0.434 eV per atom
Total magnetization ... 0.00 μB per cell

(3)
The following is a GGA-PBE calculation of crystalline Be4Tl3 at its relaxed geometry, from Alexandria via LeMat-Bulk.

Cell: 14.847 14.847 14.847 Å, 168.39 168.39 16.45°
Element x y z (fractional)
Be 0.892 0.892 0.000
Be 0.588 0.588 0.000
Be 0.412 0.412 0.000
Be 0.108 0.108 0.000
Tl 0.000 0.000 0.000
Tl 0.309 0.309 0.000
Tl 0.691 0.691 0.000

Computed properties:
Energy above the most stable polymorph in this dataset ... 0 meV per atom
Symmetry ... I4/mmm
E_form ... 0.592 eV per atom
Total magnetization ... 0.00 μB per cell

(4)
The following is a GGA-PBE calculation of crystalline BeTl2 at its relaxed geometry, from Alexandria via LeMat-Bulk.

Cell: 6.501 6.501 7.631 Å, 55.87 55.87 35.87°
Element x y z (fractional)
Tl 0.192 0.192 0.879
Tl 0.479 0.479 0.309
Tl 0.521 0.521 0.691
Tl 0.808 0.808 0.121
Be 0.221 0.221 0.509
Be 0.779 0.779 0.491

Computed properties:
Energy above the most stable polymorph in this dataset ... 0 meV per atom
Symmetry ... C2/m
E_form ... 0.413 eV per atom
Total magnetization ... 0.00 μB per cell

Listing density of states at the Fermi level for the structures above in their given order: 2.34 0.76 1.71 2.00 states/eV per cell.